(1)
# Sb2PBr

Crystalline Sb2PBr at its relaxed geometry (GGA-PBE, Alexandria via LeMat-Bulk).

The value obtained for the uncorrected formation energy is 171.9 meV per atom. The total energy is -43.920 eV for the cell shown. The calculation puts the total magnetic moment at 0.00 μB/f.u.

Cell lengths 3.6614, 3.6614, 28.8712 Å; angles 90.00, 90.00, 120.00 degrees
With the nearest neighbours (Å) after each atom.
Space group R3m (No. 160, hexagonal axes)
Unique sites:
Sb: 0.0000 0.0000 0.0000 (multiplicity 3)  3 P 2.57
Sb: 0.0000 0.0000 0.2242 (multiplicity 3)  3 Br 3.05
P: 0.0000 0.0000 0.7176 (multiplicity 3)  3 Sb 2.57
Br: 0.0000 0.0000 0.4816 (multiplicity 3)  3 Sb 3.05



(2)
# VSi2W

Crystalline VSi2W at its relaxed geometry (GGA-PBE, Alexandria via LeMat-Bulk).

The value obtained for the uncorrected formation energy is 376.7 meV per atom. The total energy is -125.644 eV for the cell shown. The calculation puts the total magnetic moment at 0.37 μB/f.u.

Cell lengths 6.6582, 6.6582, 5.4269 Å; angles 90.00, 90.00, 90.00 degrees
With the nearest neighbours (Å) after each atom.
Space group I-42d (No. 122)
Unique sites:
V: 0.0000 0.0000 0.0000 (multiplicity 4)  4 Si 2.42
Si: 0.2435 0.7500 0.1250 (multiplicity 8)  2 V 2.42, 2 W 2.48
W: 0.0000 0.0000 0.5000 (multiplicity 4)  4 Si 2.48, 2 V 2.71



(3)
# LiHgCl2

Crystalline LiHgCl2 at its relaxed geometry (GGA-PBE, Alexandria via LeMat-Bulk).

The value obtained for the uncorrected formation energy is -439.1 meV per atom. The total energy is -30.662 eV for the cell shown. The calculation puts the total magnetic moment at 0.68 μB/f.u.

Cell lengths 7.1646, 7.1646, 7.1646 Å; angles 90.00, 90.00, 90.00 degrees
With the nearest neighbours (Å) after each atom.
Space group F-43m (No. 216)
Unique sites:
Li: 0.0000 0.0000 0.0000 (multiplicity 4)  4 Cl 3.10, 4 Hg 3.10
Hg: 0.2500 0.2500 0.7500 (multiplicity 4)  4 Cl 3.10, 4 Li 3.10
Cl: 0.0000 0.0000 0.5000 (multiplicity 4)  4 Hg 3.10, 4 Cl 3.10
Cl: 0.2500 0.2500 0.2500 (multiplicity 4)  4 Cl 3.10, 4 Li 3.10



(4)
# SmDyY14

Crystalline SmDyY14 at its relaxed geometry (GGA-PBE, Alexandria via LeMat-Bulk).

The energy of formation comes out at 0.0208 eV per atom. The total energy is -99.486 eV for the cell shown. The calculation puts the total magnetic moment at 0.00 μB/f.u.

Cell lengths 7.1514, 7.1514, 10.0821 Å; angles 90.00, 90.00, 90.00 degrees
With the nearest neighbours (Å) after each atom.
Space group P4/mmm (No. 123)
Unique sites:
Sm: 0.0000 0.0000 0.0000 (multiplicity 1)  12 Y 3.57-3.58
Dy: 0.5000 0.5000 0.0000 (multiplicity 1)  12 Y 3.57-3.58
Y: 0.0000 0.0000 0.5000 (multiplicity 1)  12 Y 3.57-3.58
Y: 0.0000 0.5000 0.0000 (multiplicity 2)  8 Y 3.57, 2 Dy 3.58, 2 Sm 3.58
Y: 0.0000 0.5000 0.5000 (multiplicity 2)  12 Y 3.57-3.58
Y: 0.2505 0.2505 0.2498 (multiplicity 8)  1 Dy 3.57, 10 Y 3.57-3.58, 1 Sm 3.57
Y: 0.5000 0.5000 0.5000 (multiplicity 1)  12 Y 3.57-3.58



(5)
# Cs2Li3ZrF12

Crystalline Cs2Li3ZrF12 at its relaxed geometry (GGA-PBE, Alexandria via LeMat-Bulk).

The value obtained for the uncorrected formation energy is -2569.5 meV per atom. The total energy is -254.110 eV for the cell shown. The calculation puts the total magnetic moment at 3.00 μB/f.u.

Cell lengths 7.3047, 7.3047, 18.9387 Å; angles 90.00, 90.00, 120.00 degrees
With the nearest neighbours (Å) after each atom.
Space group R-3m (No. 166, hexagonal axes)
Unique sites:
Cs: 0.0000 0.0000 0.1186 (multiplicity 6)  6 F 3.03-3.25
Li: 0.0000 0.5000 0.0000 (multiplicity 9)  6 F 2.04-2.06
Zr: 0.0000 0.0000 0.5000 (multiplicity 3)  6 F 2.04
F: 0.0316 0.5158 0.3486 (multiplicity 18)  2 Li 2.04
F: 0.0651 0.5325 0.1065 (multiplicity 18)  1 Zr 2.04, 1 Li 2.06



(6)
# TaCd3Cu

Crystalline TaCd3Cu at its relaxed geometry (GGA-PBE, Alexandria via LeMat-Bulk).

The energy of formation comes out at 0.9469 eV per atom. The total energy is -13.960 eV for the cell shown. The calculation puts the total magnetic moment at 0.00 μB/f.u.

Cell lengths 4.7563, 4.7563, 4.7563 Å; angles 90.00, 90.00, 90.00 degrees
With the nearest neighbours (Å) after each atom.
Space group Pm-3m (No. 221)
Unique sites:
Ta: 0.0000 0.0000 0.0000 (multiplicity 1)  12 Cd 3.36
Cd: 0.0000 0.5000 0.5000 (multiplicity 3)  2 Cu 2.38
Cu: 0.5000 0.5000 0.5000 (multiplicity 1)  6 Cd 2.38



(7)
# Fe2CoAg

Crystalline Fe2CoAg at its relaxed geometry (GGA-PBE, Alexandria via LeMat-Bulk).

The energy of formation comes out at 0.8699 eV per atom. The total energy is -93.612 eV for the cell shown. The calculation puts the total magnetic moment at 0.00 μB/f.u.

Cell lengths 5.8217, 5.8217, 5.8217 Å; angles 90.00, 90.00, 90.00 degrees
With the nearest neighbours (Å) after each atom.
Space group Fm-3m (No. 225)
Unique sites:
Fe: 0.2500 0.2500 0.2500 (multiplicity 8)  4 Co 2.52, 4 Ag 2.52
Co: 0.0000 0.0000 0.0000 (multiplicity 4)  8 Fe 2.52
Ag: 0.0000 0.0000 0.5000 (multiplicity 4)  8 Fe 2.52



(8)
# LaHoGe2Rh5

Crystalline LaHoGe2Rh5 at its relaxed geometry (GGA-PBE, Alexandria via LeMat-Bulk).

The energy of formation comes out at -0.6959 eV per atom. The total energy is -61.760 eV for the cell shown. The calculation puts the total magnetic moment at 0.00 μB/f.u.

Cell lengths 4.2196, 4.2196, 9.0334 Å; angles 90.00, 90.00, 90.00 degrees
With the nearest neighbours (Å) after each atom.
Space group P4/mmm (No. 123)
Unique sites:
La: 0.0000 0.0000 0.0000 (multiplicity 1)  12 Rh 2.98-3.00
Ho: 0.0000 0.0000 0.5000 (multiplicity 1)  8 Rh 3.19, 8 Ge 3.23
Ge: 0.5000 0.5000 0.3618 (multiplicity 2)  4 Rh 2.40, 1 Ge 2.50
Rh: 0.0000 0.5000 0.2356 (multiplicity 4)  2 Ge 2.40
Rh: 0.5000 0.5000 0.0000 (multiplicity 1)  4 La 2.98, 8 Rh 3.00, 2 Ge 3.27



(9)
# Rb2CaTlCl6

Crystalline Rb2CaTlCl6 at its relaxed geometry (GGA-PBE, Alexandria via LeMat-Bulk).

The value obtained for the uncorrected formation energy is -1686.3 meV per atom. The total energy is -68.492 eV for the cell shown. The calculation puts the total magnetic moment at 0.00 μB/f.u.

Cell lengths 7.8116, 11.0512, 7.8512 Å; angles 90.00, 90.00, 90.00 degrees
With the nearest neighbours (Å) after each atom.
Space group Pmmn (No. 59, origin choice 2)
Unique sites:
Rb: 0.2500 0.0199 0.2195 (multiplicity 4)  9 Cl 3.53-3.93
Ca: 0.2500 0.2500 0.7411 (multiplicity 2)  6 Cl 2.71-2.73
Tl: 0.2500 0.7500 0.7527 (multiplicity 2)  6 Cl 2.80-2.85
Cl: 0.0032 0.2500 0.9867 (multiplicity 4)  1 Ca 2.73, 1 Tl 2.85
Cl: 0.0192 0.2500 0.4828 (multiplicity 4)  1 Ca 2.71, 1 Tl 2.80
Cl: 0.2500 0.0050 0.7703 (multiplicity 4)  1 Ca 2.72, 1 Tl 2.82



(10)
# TmGe3Ir3

Crystalline TmGe3Ir3 at its relaxed geometry (GGA-PBE, Alexandria via LeMat-Bulk).

The energy of formation comes out at 0.0060 eV per atom. The total energy is -89.729 eV for the cell shown. The calculation puts the total magnetic moment at 0.00 μB/f.u.

Cell lengths 6.7386, 6.7386, 6.7386 Å; angles 90.00, 90.00, 90.00 degrees
With the nearest neighbours (Å) after each atom.
Space group Pm-3n (No. 223)
Unique sites:
Tm: 0.0000 0.0000 0.0000 (multiplicity 2)  12 Ge 3.77, 12 Ir 3.77
Ge: 0.0000 0.2500 0.5000 (multiplicity 6)  4 Ir 2.38
Ir: 0.0000 0.5000 0.2500 (multiplicity 6)  4 Ge 2.38



(11)
# Mo2PCl

Crystalline Mo2PCl at its relaxed geometry (GGA-PBE, Alexandria via LeMat-Bulk).

The value obtained for the uncorrected formation energy is 477.9 meV per atom. The total energy is -27.007 eV for the cell shown. The calculation puts the total magnetic moment at 0.00 μB/f.u.

Cell lengths 2.8161, 4.0283, 5.7404 Å; angles 90.00, 90.00, 90.00 degrees
With the nearest neighbours (Å) after each atom.
Space group Pmmm (No. 47)
Unique sites:
Mo: 0.0000 0.0000 0.0000 (multiplicity 1)  4 Cl 2.46
Mo: 0.5000 0.0000 0.5000 (multiplicity 1)  4 P 2.46
P: 0.0000 0.5000 0.5000 (multiplicity 1)  4 Mo 2.46
Cl: 0.5000 0.5000 0.0000 (multiplicity 1)  4 Mo 2.46



(12)
# Pr4GaSi3

Crystalline Pr4GaSi3 at its relaxed geometry (GGA-PBE, Alexandria via LeMat-Bulk).

The value obtained for the uncorrected formation energy is -711.1 meV per atom. The total energy is -44.103 eV for the cell shown. The calculation puts the total magnetic moment at 0.04 μB/f.u.

Cell lengths 4.0196, 4.4881, 11.2234 Å; angles 90.00, 90.00, 90.00 degrees
With the nearest neighbours (Å) after each atom.
Space group Pmm2 (No. 25)
Unique sites:
Pr: 0.0000 0.0000 0.0000 (multiplicity 1)  5 Si 3.12-3.22, 2 Ga 3.28
Pr: 0.0000 0.5000 0.4952 (multiplicity 1)  6 Si 3.12-3.24, 1 Ga 3.28
Pr: 0.5000 0.0000 0.7140 (multiplicity 1)  4 Ga 3.12, 3 Si 3.25-3.29
Pr: 0.5000 0.5000 0.2158 (multiplicity 1)  7 Si 3.12-3.24
Ga: 0.0000 0.5000 0.7871 (multiplicity 1)  2 Si 2.56
Si: 0.0000 0.0000 0.2865 (multiplicity 1)  2 Si 2.54
Si: 0.5000 0.0000 0.4242 (multiplicity 1)  2 Si 2.54
Si: 0.5000 0.5000 0.9287 (multiplicity 1)  2 Ga 2.56



(13)
# ReIr3Rh

Crystalline ReIr3Rh at its relaxed geometry (GGA-PBE, Alexandria via LeMat-Bulk).

The energy of formation comes out at 0.2892 eV per atom. The total energy is -179.746 eV for the cell shown. The calculation puts the total magnetic moment at 0.00 μB/f.u.

Cell lengths 2.7069, 14.1112, 8.6933 Å; angles 90.00, 90.00, 90.00 degrees
With the nearest neighbours (Å) after each atom.
Space group Cmcm (No. 63)
Unique sites:
Re: 0.0000 0.2221 0.2500 (multiplicity 4)  8 Ir 2.65-2.82, 2 Re 2.71, 2 Rh 2.75
Ir: 0.0000 0.1030 0.7500 (multiplicity 4)  2 Rh 2.57, 6 Ir 2.71-2.74, 2 Re 2.82
Ir: 0.0000 0.3305 0.5018 (multiplicity 8)  6 Ir 2.65-2.74, 3 Re 2.65-2.67, 1 Rh 2.72
Rh: 0.0000 0.4477 0.7500 (multiplicity 4)  4 Ir 2.57-2.72, 2 Rh 2.71, 2 Re 2.75



(14)
# SrCr2Re

Crystalline SrCr2Re at its relaxed geometry (GGA-PBE, Alexandria via LeMat-Bulk).

The energy of formation comes out at 1.1621 eV per atom. The total energy is -28.728 eV for the cell shown. The calculation puts the total magnetic moment at 3.18 μB/f.u.

Cell lengths 4.6725, 4.6725, 3.1239 Å; angles 90.00, 90.00, 90.00 degrees
With the nearest neighbours (Å) after each atom.
Space group P4/mmm (No. 123)
Unique sites:
Sr: 0.0000 0.0000 0.0000 (multiplicity 1)  8 Cr 2.81, 2 Sr 3.12
Cr: 0.0000 0.5000 0.5000 (multiplicity 2)  4 Re 2.81, 4 Sr 2.81, 2 Cr 3.12
Re: 0.5000 0.5000 0.0000 (multiplicity 1)  8 Cr 2.81, 2 Re 3.12



(15)
# CsPd2Pb

Crystalline CsPd2Pb at its relaxed geometry (GGA-PBE, Alexandria via LeMat-Bulk).

The energy of formation comes out at -0.2154 eV per atom. The total energy is -31.618 eV for the cell shown. The calculation puts the total magnetic moment at 0.00 μB/f.u.

Cell lengths 4.6865, 7.5976, 7.0971 Å; angles 90.00, 90.00, 90.00 degrees
With the nearest neighbours (Å) after each atom.
Space group Pmmn (No. 59, origin choice 2)
Unique sites:
Cs: 0.2500 0.2500 0.1251 (multiplicity 2)  6 Pd 3.57-3.91
Pd: 0.2500 0.0619 0.5864 (multiplicity 4)  3 Pb 2.77-2.84, 3 Pd 2.81-2.86
Pb: 0.2500 0.7500 0.3655 (multiplicity 2)  6 Pd 2.77-2.84



(16)
# YFe2

Crystalline YFe2 at its relaxed geometry (GGA-PBE, Alexandria via LeMat-Bulk).

The energy of formation comes out at -0.0636 eV per atom. The total energy is -188.642 eV for the cell shown. The calculation puts the total magnetic moment at 3.29 μB/f.u.

Cell lengths 7.2811, 7.2811, 7.2811 Å; angles 90.00, 90.00, 90.00 degrees
With the nearest neighbours (Å) after each atom.
Space group Fd-3m (No. 227, origin choice 2)
Unique sites:
Y: 0.1250 0.1250 0.1250 (multiplicity 8)  12 Fe 3.02, 4 Y 3.15
Fe: 0.0000 0.0000 0.5000 (multiplicity 16)  6 Fe 2.57



(17)
# MgSc2Fe

Crystalline MgSc2Fe at its relaxed geometry (GGA-PBE, Alexandria via LeMat-Bulk).

The energy of formation comes out at 0.0913 eV per atom. The total energy is -22.355 eV for the cell shown. The calculation puts the total magnetic moment at 1.16 μB/f.u.

Cell lengths 4.5750, 4.5750, 3.6802 Å; angles 90.00, 90.00, 90.00 degrees
With the nearest neighbours (Å) after each atom.
Space group P4/mmm (No. 123)
Unique sites:
Mg: 0.0000 0.0000 0.0000 (multiplicity 1)  8 Sc 2.94, 4 Fe 3.24
Sc: 0.0000 0.5000 0.5000 (multiplicity 2)  4 Fe 2.94, 4 Mg 2.94, 4 Sc 3.24
Fe: 0.5000 0.5000 0.0000 (multiplicity 1)  8 Sc 2.94, 4 Mg 3.24



(18)
# GeIrAu3

Crystalline GeIrAu3 at its relaxed geometry (GGA-PBE, Alexandria via LeMat-Bulk).

The energy of formation comes out at 1.0989 eV per atom. The total energy is -17.816 eV for the cell shown. The calculation puts the total magnetic moment at 0.00 μB/f.u.

Cell lengths 4.7380, 4.7380, 4.7380 Å; angles 90.00, 90.00, 90.00 degrees
With the nearest neighbours (Å) after each atom.
Space group Pm-3m (No. 221)
Unique sites:
Ge: 0.0000 0.0000 0.0000 (multiplicity 1)  6 Au 2.37
Ir: 0.5000 0.5000 0.5000 (multiplicity 1)  12 Au 3.35
Au: 0.0000 0.0000 0.5000 (multiplicity 3)  2 Ge 2.37



(19)
# LiReAg2

Crystalline LiReAg2 at its relaxed geometry (GGA-PBE, Alexandria via LeMat-Bulk).

The energy of formation comes out at 0.7300 eV per atom. The total energy is -68.577 eV for the cell shown. The calculation puts the total magnetic moment at 1.99 μB/f.u.

Cell lengths 6.3945, 6.3945, 6.3945 Å; angles 90.00, 90.00, 90.00 degrees
With the nearest neighbours (Å) after each atom.
Space group Fm-3m (No. 225)
Unique sites:
Li: 0.0000 0.0000 0.0000 (multiplicity 4)  8 Ag 2.77
Re: 0.0000 0.0000 0.5000 (multiplicity 4)  8 Ag 2.77
Ag: 0.2500 0.2500 0.2500 (multiplicity 8)  4 Li 2.77, 4 Re 2.77



(20)
# LaFe2Pb2

Crystalline LaFe2Pb2 at its relaxed geometry (GGA-PBE, Alexandria via LeMat-Bulk).

The energy of formation comes out at 0.1820 eV per atom. The total energy is -56.719 eV for the cell shown. The calculation puts the total magnetic moment at 0.00 μB/f.u.

Cell lengths 4.6431, 4.6431, 10.0903 Å; angles 90.00, 90.00, 90.00 degrees
With the nearest neighbours (Å) after each atom.
Space group I4/mmm (No. 139)
Unique sites:
La: 0.0000 0.0000 0.0000 (multiplicity 2)  8 Pb 3.43, 8 Fe 3.44
Fe: 0.0000 0.0000 0.3969 (multiplicity 4)  1 Fe 2.08
Pb: 0.0000 0.5000 0.2500 (multiplicity 4)  4 Fe 2.75